ErCdCu | PBE | optimized geometry

abc: 4.600 4.600 4.600
angles: 60.00 60.00 60.00
Sites, in units of the cell vectors:
Er 0.000 0.000 0.000
Cd 0.500 0.500 0.500
Cu 0.750 0.750 0.750

Computed properties:
Formation energy ... -0.135 eV/atom
SG ... F-43m (216)

ErCd5Cu | PBE | optimized geometry

abc: 4.654 4.654 7.253
angles: 90.00 90.00 90.00
Sites, in units of the cell vectors:
Er 0.000 0.000 0.000
Cd 0.000 0.500 0.297
Cd 0.000 0.500 0.703
Cd 0.500 0.000 0.297
Cd 0.500 0.000 0.703
Cd 0.500 0.500 0.000
Cu 0.000 0.000 0.500

Computed properties:
Formation energy ... -0.137 eV/atom
SG ... P4/mmm (123)

ErCd2Cu | PBE | optimized geometry

abc: 4.879 4.879 4.879
angles: 60.00 60.00 60.00
Sites, in units of the cell vectors:
Er 0.000 0.000 0.000
Cd 0.250 0.250 0.250
Cd 0.750 0.750 0.750
Cu 0.500 0.500 0.500

Computed properties:
Formation energy ... -0.109 eV/atom
SG ... Fm-3m (225)

- formation energy of number 1 (ErCdCu)?
  -0.135 eV/atom

- formation energy of number 3 (ErCd2Cu)?
  -0.109 eV/atom

- formation energy of number 2 (ErCd5Cu)?
  -0.137 eV/atom

- Among the records above, which one has the highest formation energy?
  ErCd2Cu